## Ac12Co5Ge3 (PBE)

Data for a geometry-optimized Ac12Co5Ge3 structure.

Output
* crystal system: cubic
* formation energy from the elements: -1.26 kcal/mol of atoms
* V: 34.315 A^3/atom
* density: 7.8 g cm⁻³

```
Ac12Co5Ge3
1.0
-8.821 8.821 8.821
8.821 -8.821 8.821
8.821 8.821 -8.821
Ac Co Ge
48 20 12
direct
0.030 0.208 0.124
0.030 0.322 0.906
0.084 0.708 0.678
0.084 0.876 0.406
0.094 0.624 0.416
0.094 0.970 0.678
0.124 0.030 0.208
0.124 0.594 0.916
0.178 0.208 0.584
0.178 0.470 0.594
0.208 0.124 0.030
0.208 0.584 0.178
0.292 0.322 0.916
0.292 0.470 0.376
0.322 0.906 0.030
0.322 0.916 0.292
0.376 0.292 0.470
0.376 0.584 0.906
0.406 0.084 0.876
0.406 0.822 0.530
0.416 0.094 0.624
0.416 0.822 0.792
0.470 0.376 0.292
0.470 0.594 0.178
0.530 0.406 0.822
0.530 0.624 0.708
0.584 0.178 0.208
0.584 0.906 0.376
0.594 0.178 0.470
0.594 0.916 0.124
0.624 0.416 0.094
0.624 0.708 0.530
0.678 0.084 0.708
0.678 0.094 0.970
0.708 0.530 0.624
0.708 0.678 0.084
0.792 0.416 0.822
0.792 0.876 0.970
0.822 0.530 0.406
0.822 0.792 0.416
0.876 0.406 0.084
0.876 0.970 0.792
0.906 0.030 0.322
0.906 0.376 0.584
0.916 0.124 0.594
0.916 0.292 0.322
0.970 0.678 0.094
0.970 0.792 0.876
0.000 0.000 0.000
0.000 0.000 0.500
0.000 0.500 0.000
0.000 0.500 0.500
0.125 0.750 0.875
0.125 0.875 0.250
0.250 0.125 0.875
0.250 0.625 0.375
0.375 0.250 0.625
0.375 0.625 0.750
0.500 0.000 0.000
0.500 0.000 0.500
0.500 0.500 0.000
0.500 0.500 0.500
0.625 0.375 0.250
0.625 0.750 0.375
0.750 0.375 0.625
0.750 0.875 0.125
0.875 0.125 0.750
0.875 0.250 0.125
0.125 0.250 0.375
0.125 0.375 0.750
0.250 0.375 0.125
0.250 0.875 0.625
0.375 0.125 0.250
0.375 0.750 0.125
0.625 0.250 0.875
0.625 0.875 0.750
0.750 0.125 0.375
0.750 0.625 0.875
0.875 0.625 0.250
0.875 0.750 0.625
```